Density functional theory data (PBE) for a relaxed structure of LiPm3Sc2Te6.

The calculation puts the raw formation energy at -1486 kJ/mol of formula units. Its size of the total moment is 0.000 μB per formula unit. The total DFT energy (no corrections) comes out at -5.257 eV/atom.

Unit cell a=18.8798 b=4.3157 c=8.6695 alpha=90.00 beta=103.57 gamma=90.00
Space group C2/m (No. 12)
Unique sites:
Li 0.0000 0.0000 0.0000
Pm 0.0000 0.0000 0.5000
Pm 0.1636 0.5000 0.8282
Sc 0.1657 0.5000 0.3399
Te 0.0064 0.5000 0.2359
Te 0.1629 0.0000 0.0970
Te 0.1719 0.0000 0.5723

Density functional theory data (PBE) for a relaxed structure of Dy6Tm2Cd.

The energy of formation is -0.04 eV per atom. The calculation puts the energy above the most stable polymorph in this dataset at 0.000 eV per atom. Its size of the total moment is 0.000 μB per formula unit. The total DFT energy (no corrections) comes out at -4.204 eV/atom.

Unit cell a=20.8372 b=6.1366 c=8.9677 alpha=90.00 beta=109.92 gamma=90.00
Space group C2/c (No. 15)
Unique sites:
Dy 0.0539 0.1732 0.1357
Dy 0.1096 0.3484 0.5270
Dy 0.1627 0.1653 0.9157
Tm 0.2234 0.3316 0.3058
Cd 0.0000 0.3317 0.7500

Density functional theory data (PBE) for a relaxed structure of TeMoAs.

The calculation puts the raw formation energy at 31 kJ/mol of formula units. The calculation puts the energy above the most stable polymorph in this dataset at 0.133 eV per atom. Its size of the total moment is 0.000 μB per formula unit. The total DFT energy (no corrections) comes out at -6.100 eV/atom.

Unit cell a=5.0510 b=5.2382 c=5.9935 alpha=106.37 beta=108.26 gamma=92.04
Space group P-1 (No. 2)
Unique sites:
Te 0.2244 0.4026 0.2075
Mo 0.0649 0.9357 0.2752
As 0.4070 0.0391 0.7119

Density functional theory data (PBE) for a relaxed structure of InPd.

The energy of formation is 0.08 eV per atom. Its size of the total moment is 0.000 μB per formula unit. The total DFT energy (no corrections) comes out at -3.883 eV/atom.

Unit cell a=6.0876 b=6.0876 c=6.0876 alpha=90.00 beta=90.00 gamma=90.00
Space group F-43m (No. 216)
Unique sites:
In 0.0000 0.0000 0.0000
Pd 0.2500 0.2500 0.2500